VASP calculation (GGA+U) on a geometry-optimized MnTeP2O structure.

a = 4.250 Å, b = 5.503 Å, c = 4.250 Å
α = 90.00°, β = 90.00°, γ = 90.00°
Site moments in Bohr magnetons follow the coordinates.
Fractional positions:
O 0.500 0.500 0.500  -0.44
P 0.500 0.000 0.000  -0.25
P 0.000 0.000 0.500  -0.13
Mn 0.000 0.000 0.000  2.85
Te 0.000 0.500 0.000  -0.05

Properties
VASP energy = -4.26 eV/atom
distance to the lowest polymorph of the same formula = 584 meV/atom
crystal system = tetragonal
DOS at the Fermi energy = 3.64 states/eV/f.u.